Record 1
The following is a DFT calculation (meta-GGA SCAN) of a crystal of Al2AsP relaxed with PBEsol.

Properties
Density of states at the Fermi level, states/eV/atom: 0.41
E_form, eV/atom: 0.14
Space-group type: No. 47
Relative energy among the computed polymorphs, eV per atom: 0.424

a = 3.5276 Å, b = 3.6179 Å, c = 5.3409 Å
α = 90.00°, β = 90.00°, γ = 90.00°
Positions (direct):
Al (0.0000, 0.0000, 0.0000)
Al (0.0000, 0.5000, 0.5000)
As (0.5000, 0.0000, 0.5000)
P (0.5000, 0.5000, 0.0000)


Record 2
The following is a DFT calculation (meta-GGA SCAN) of a crystal of CaBe4Mo relaxed with PBEsol.

Properties
Density of states at the Fermi level, states/eV/atom: 0.61
E_form, eV/atom: 0.30
Space-group type: No. 216

a = 4.6927 Å, b = 4.6927 Å, c = 4.6927 Å
α = 60.00°, β = 60.00°, γ = 60.00°
Positions (direct):
Ca (0.0000, 0.0000, 0.0000)
Be (0.3800, 0.3800, 0.3800)
Be (0.3800, 0.3800, 0.8601)
Be (0.3800, 0.8601, 0.3800)
Be (0.8601, 0.3800, 0.3800)
Mo (0.7500, 0.7500, 0.7500)


Record 3
The following is a DFT calculation (meta-GGA SCAN) of a crystal of LiInCu3 relaxed with PBEsol.

Properties
Density of states at the Fermi level, states/eV/atom: 0.26
E_form, eV/atom: 0.53
Space-group type: No. 221
Relative energy among the computed polymorphs, eV per atom: 0.000

a = 4.1321 Å, b = 4.1321 Å, c = 4.1321 Å
α = 90.00°, β = 90.00°, γ = 90.00°
Positions (direct):
Li (0.0000, 0.0000, 0.0000)
In (0.5000, 0.5000, 0.5000)
Cu (0.0000, 0.0000, 0.5000)
Cu (0.0000, 0.5000, 0.0000)
Cu (0.5000, 0.0000, 0.0000)


Record 4
The following is a DFT calculation (meta-GGA SCAN) of a crystal of PmTm3 relaxed with PBEsol.

Properties
Density of states at the Fermi level, states/eV/atom: 1.51
E_form, eV/atom: 0.01
Space-group type: No. 194
Relative energy among the computed polymorphs, eV per atom: 0.000

a = 7.0432 Å, b = 7.0432 Å, c = 5.5216 Å
α = 90.00°, β = 90.00°, γ = 120.00°
Positions (direct):
Pm (0.3333, 0.6667, 0.2500)
Pm (0.6667, 0.3333, 0.7500)
Tm (0.1655, 0.3309, 0.7500)
Tm (0.1655, 0.8345, 0.7500)
Tm (0.3309, 0.1655, 0.2500)
Tm (0.6691, 0.8345, 0.7500)
Tm (0.8345, 0.1655, 0.2500)
Tm (0.8345, 0.6691, 0.2500)


Record 5
The following is a DFT calculation (meta-GGA SCAN) of a crystal of LaY2Tl relaxed with PBEsol.

Properties
Density of states at the Fermi level, states/eV/atom: 1.19
E_form, eV/atom: -0.30
Space-group type: No. 119
Relative energy among the computed polymorphs, eV per atom: 0.023

a = 6.0553 Å, b = 6.0553 Å, c = 6.0553 Å
α = 133.97°, β = 133.97°, γ = 67.14°
Positions (direct):
La (0.0000, 0.0000, 0.0000)
Y (0.2500, 0.7500, 0.5000)
Y (0.5000, 0.5000, 0.0000)
Tl (0.7500, 0.2500, 0.5000)


Record 6
The following is a DFT calculation (meta-GGA SCAN) of a crystal of CaV2Ni2P4O18 relaxed with PBEsol.

Properties
Uncorrected formation energy, meV per atom: -2411
Space-group type: No. 26

a = 6.2842 Å, b = 7.6680 Å, c = 13.6201 Å
α = 90.00°, β = 90.00°, γ = 90.00°
Positions (direct):
Ca (0.0000, 0.0905, 0.0000)
Ca (0.0000, 0.9095, 0.5000)
V (0.0000, 0.4125, 0.4030)
V (0.0000, 0.5875, 0.9030)
V (0.5000, 0.0837, 0.1713)
V (0.5000, 0.9163, 0.6713)
Ni (0.2521, 0.2581, 0.7852)
Ni (0.2521, 0.7419, 0.2852)
Ni (0.7479, 0.2581, 0.7852)
Ni (0.7479, 0.7419, 0.2852)
P (0.0000, 0.0903, 0.2321)
P (0.0000, 0.3338, 0.5933)
P (0.0000, 0.6662, 0.0932)
P (0.0000, 0.9097, 0.7321)
P (0.5000, 0.1772, 0.9876)
P (0.5000, 0.3999, 0.3429)
P (0.5000, 0.6001, 0.8429)
P (0.5000, 0.8228, 0.4876)
O (0.0000, 0.0796, 0.7932)
O (0.0000, 0.2030, 0.5044)
O (0.0000, 0.2482, 0.2990)
O (0.0000, 0.4013, 0.8353)
O (0.0000, 0.4912, 0.0271)
O (0.0000, 0.5088, 0.5271)
O (0.0000, 0.5987, 0.3353)
O (0.0000, 0.7518, 0.7990)
O (0.0000, 0.7970, 0.0044)
O (0.0000, 0.9204, 0.2932)
O (0.1903, 0.0943, 0.1597)
O (0.1903, 0.9057, 0.6597)
O (0.2044, 0.3242, 0.6516)
O (0.2044, 0.6758, 0.1516)
O (0.2985, 0.1875, 0.9244)
O (0.2985, 0.8125, 0.4244)
O (0.2994, 0.3871, 0.4063)
O (0.2994, 0.6129, 0.9063)
O (0.5000, 0.0065, 0.5434)
O (0.5000, 0.1015, 0.7388)
O (0.5000, 0.2422, 0.2716)
O (0.5000, 0.2968, 0.0776)
O (0.5000, 0.4238, 0.7892)
O (0.5000, 0.5762, 0.2892)
O (0.5000, 0.7032, 0.5776)
O (0.5000, 0.7578, 0.7716)
O (0.5000, 0.8985, 0.2388)
O (0.5000, 0.9935, 0.0434)
O (0.7006, 0.3871, 0.4063)
O (0.7006, 0.6129, 0.9063)
O (0.7015, 0.1875, 0.9244)
O (0.7015, 0.8125, 0.4244)
O (0.7956, 0.3242, 0.6516)
O (0.7956, 0.6758, 0.1516)
O (0.8097, 0.0943, 0.1597)
O (0.8097, 0.9057, 0.6597)


Record 7
The following is a DFT calculation (meta-GGA SCAN) of a crystal of BaIn2Rh2 relaxed with PBEsol.

Properties
Density of states at the Fermi level, states/eV/atom: 0.20
E_form, eV/atom: -0.46
Space-group type: No. 139

a = 6.2956 Å, b = 6.2956 Å, c = 6.2956 Å
α = 136.59°, β = 136.59°, γ = 63.07°
Positions (direct):
Ba (0.0000, 0.0000, 0.0000)
In (0.3621, 0.3621, 0.0000)
In (0.6379, 0.6379, 0.0000)
Rh (0.2500, 0.7500, 0.5000)
Rh (0.7500, 0.2500, 0.5000)


Record 8
The following is a DFT calculation (meta-GGA SCAN) of a crystal of BiSeIO2 relaxed with PBEsol.

Properties
Density of states at the Fermi level, states/eV/atom: 0.42
Uncorrected formation energy, meV per atom: 3
Space-group type: No. 123

a = 4.1526 Å, b = 4.1526 Å, c = 6.8263 Å
α = 90.00°, β = 90.00°, γ = 90.00°
Positions (direct):
Bi (0.0000, 0.0000, 0.0000)
Se (0.5000, 0.5000, 0.5000)
I (0.0000, 0.0000, 0.5000)
O (0.0000, 0.5000, 0.0000)
O (0.5000, 0.0000, 0.0000)


Record 9
The following is a DFT calculation (meta-GGA SCAN) of a crystal of NbPbNO2 relaxed with PBEsol.

Properties
Density of states at the Fermi level, states/eV/atom: 0.39
Uncorrected formation energy, meV per atom: 509
Space-group type: No. 123

a = 4.1242 Å, b = 4.1242 Å, c = 4.2220 Å
α = 90.00°, β = 90.00°, γ = 90.00°
Positions (direct):
Nb (0.0000, 0.0000, 0.0000)
Pb (0.5000, 0.5000, 0.5000)
N (0.5000, 0.5000, 0.0000)
O (0.0000, 0.5000, 0.5000)
O (0.5000, 0.0000, 0.5000)


Record 10
The following is a DFT calculation (meta-GGA SCAN) of a crystal of Mn2ZnSe relaxed with PBEsol.

Properties
Density of states at the Fermi level, states/eV/atom: 0.49
Uncorrected formation energy, meV per atom: -116
Space-group type: No. 119
Relative energy among the computed polymorphs, eV per atom: 0.024

a = 4.9985 Å, b = 4.9985 Å, c = 4.9985 Å
α = 137.18°, β = 137.18°, γ = 62.16°
Positions (direct):
Mn (0.0000, 0.0000, 0.0000)
Mn (0.7500, 0.2500, 0.5000)
Zn (0.2500, 0.7500, 0.5000)
Se (0.5000, 0.5000, 0.0000)


Record 11
The following is a DFT calculation (meta-GGA SCAN) of a crystal of CrIrOs2 relaxed with PBEsol.

Properties
Density of states at the Fermi level, states/eV/atom: 0.71
E_form, eV/atom: -0.02
Space-group type: No. 65
Relative energy among the computed polymorphs, eV per atom: 0.016

a = 4.6174 Å, b = 4.6174 Å, c = 2.6757 Å
α = 90.00°, β = 90.00°, γ = 109.33°
Positions (direct):
Cr (0.0000, 0.0000, 0.0000)
Ir (0.5000, 0.5000, 0.0000)
Os (0.0000, 0.5000, 0.5000)
Os (0.5000, 0.0000, 0.5000)


Record 12
The following is a DFT calculation (meta-GGA SCAN) of a crystal of Cd4Te3Se relaxed with PBEsol.

Properties
Uncorrected formation energy, meV per atom: -534
Space-group type: No. 25
Relative energy among the computed polymorphs, eV per atom: 0.000

a = 4.5122 Å, b = 9.0349 Å, c = 6.3805 Å
α = 90.00°, β = 90.00°, γ = 90.00°
Positions (direct):
Cd (0.0000, 0.0000, 0.0000)
Cd (0.0000, 0.5000, 0.0333)
Cd (0.5000, 0.2386, 0.5335)
Cd (0.5000, 0.7614, 0.5335)
Te (0.0000, 0.2424, 0.2744)
Te (0.0000, 0.7576, 0.2744)
Te (0.5000, 0.5000, 0.7737)
Se (0.5000, 0.0000, 0.7756)